1.
Sn2Bi3Au3: optimized geometry, PBE.

Cell lengths 4.2316, 13.0540, 15.1068 Å; angles 90.00, 90.00, 90.00 degrees
Last column: nearest neighbours and their distance in Å.
Space group Cmcm (No. 63)
One atom of each set of equivalent atoms:
Sn: 0.0000 0.2325 0.0930 [8 per cell]  4 Au 2.79-2.92
Bi: 0.0000 0.0507 0.6160 [8 per cell]  6 Au 3.15-3.23, 2 Bi 3.38
Bi: 0.0000 0.4212 0.7500 [4 per cell]  3 Au 3.06-3.22, 4 Bi 3.38
Au: 0.0000 0.3444 0.2500 [4 per cell]  2 Sn 2.79, 1 Bi 3.06
Au: 0.0000 0.3968 0.5382 [8 per cell]  3 Sn 2.83-2.92, 1 Au 2.93, 2 Bi 3.15

Properties
**Mass density**: 11.58 g cm⁻³
**Calculated volume**: 26.1 A^3/atom
**DOS(E_F)**: 0.488 states/eV per atom
**Formation energy**: -0.055 eV per atom

---

2.
Hf3RhPb: optimized geometry, PBE.

Cell lengths 5.0012, 5.0012, 5.0012 Å; angles 90.00, 90.00, 90.00 degrees
Last column: nearest neighbours and their distance in Å.
Space group Pm-3m (No. 221)
One atom of each set of equivalent atoms:
Hf: 0.0000 0.0000 0.5000 [3 per cell]  2 Rh 2.50
Rh: 0.0000 0.0000 0.0000 [1 per cell]  6 Hf 2.50
Pb: 0.5000 0.5000 0.5000 [1 per cell]  12 Hf 3.54

Properties
**Energy above the lowest structure with this stoichiometry**: 0.000 eV/atom
**Mass density**: 11.22 g cm⁻³
**Calculated volume**: 25.0 A^3/atom
**DOS(E_F)**: 1.019 states/eV per atom
**Formation energy**: 0.077 eV per atom

---

3.
YRe2Mo: optimized geometry, PBE.

Cell lengths 3.1946, 4.7340, 9.3102 Å; angles 90.00, 90.00, 90.00 degrees
Last column: nearest neighbours and their distance in Å.
Space group Imm2 (No. 44)
One atom of each set of equivalent atoms:
Y: 0.0000 0.0000 0.0000 [2 per cell]  6 Re 2.86-2.96, 2 Mo 2.96, 2 Y 3.19
Re: 0.0000 0.0000 0.5025 [2 per cell]  2 Re 2.67, 2 Mo 2.71, 4 Y 2.86
Re: 0.0000 0.5000 0.2326 [2 per cell]  2 Re 2.67, 4 Mo 2.87, 2 Y 2.96
Mo: 0.0000 0.5000 0.7679 [2 per cell]  6 Re 2.71-2.87, 2 Y 2.96

Properties
**Energy above the lowest structure with this stoichiometry**: 0.105 eV/atom
**Mass density**: 13.14 g cm⁻³
**Calculated volume**: 17.6 A^3/atom
**DOS(E_F)**: 0.585 states/eV per atom
**Formation energy**: 0.284 eV per atom

---

4.
CuRe2BP: optimized geometry, PBE.

Cell lengths 4.4766, 4.4766, 3.5399 Å; angles 90.00, 90.00, 90.00 degrees
Last column: nearest neighbours and their distance in Å.
Space group P4/mmm (No. 123)
One atom of each set of equivalent atoms:
Cu: 0.0000 0.0000 0.0000 [1 per cell]  8 Re 2.85, 4 B 3.17
Re: 0.0000 0.5000 0.5000 [2 per cell]  2 P 2.24
B: 0.5000 0.5000 0.0000 [1 per cell]  2 P 1.77
P: 0.5000 0.5000 0.5000 [1 per cell]  2 B 1.77

Properties
**Mass density**: 11.18 g cm⁻³
**Calculated volume**: 14.2 A^3/atom
**DOS(E_F)**: 0.754 states/eV per atom
**Formation energy**: 1.346 eV per atom

---

5.
Na2TbTeS4: optimized geometry, PBE.

Cell lengths 11.2778, 11.1847, 7.9960 Å; angles 90.00, 130.40, 90.00 degrees
Last column: nearest neighbours and their distance in Å.
Space group C2/c (No. 15)
One atom of each set of equivalent atoms:
Na: 0.0000 0.0000 0.0000 [4 per cell]  4 S 2.86-2.90
Na: 0.2500 0.2500 0.0000 [4 per cell]  6 S 2.89-3.03
Tb: 0.0000 0.5000 0.0000 [4 per cell]  6 S 2.75-2.81
Te: 0.2500 0.2500 0.5000 [4 per cell]  4 S 2.62-2.70
S: 0.0297 0.2548 0.5250 [8 per cell]  1 Te 2.62, 1 Tb 2.75, 2 Na 2.86-2.89
S: 0.2256 0.4902 0.4596 [8 per cell]  1 Te 2.70, 2 Tb 2.77-2.81, 2 Na 2.90-2.92

Properties
**Mass density**: 3.98 g cm⁻³
**Calculated volume**: 24.0 A^3/atom
**DOS(E_F)**: 0.187 states/eV per atom
**Total DFT energy (no corrections)**: -4.4456 eV/atom

---

6.
PuPaTc2: optimized geometry, PBE.

Cell lengths 6.0655, 8.9637, 3.0678 Å; angles 90.00, 115.12, 90.00 degrees
Last column: nearest neighbours and their distance in Å.
Space group C2/m (No. 12)
One atom of each set of equivalent atoms:
Pu: 0.0000 0.0000 0.0000 [2 per cell]  4 Tc 2.77, 2 Pa 3.03, 2 Pu 3.07
Pa: 0.0000 0.5000 0.0000 [2 per cell]  4 Tc 2.77, 2 Pu 3.03, 2 Pa 3.07
Tc: 0.2500 0.2500 0.5000 [4 per cell]  2 Pa 2.77, 2 Pu 2.77, 4 Tc 3.03-3.07

Properties
**Energy above the lowest structure with this stoichiometry**: 0.049 eV/atom
**Mass density**: 14.76 g cm⁻³
**Calculated volume**: 18.9 A^3/atom
**DOS(E_F)**: 1.804 states/eV per atom
**Formation energy**: -0.014 eV per atom